(1)
The following is a PBE calculation of a relaxed RbTi2Sn2 crystal, from Alexandria via LeMat-Bulk.

Values from the calculation:
The calculation puts the formation energy at 0.075 eV per atom. The calculation puts the energy relative to the lowest polymorph listed for this composition at 0.0973 eV per atom. Its calculated total energy is -4.877 eV/atom.

Unit cell a=4.7179 b=4.7179 c=7.5317 alpha=71.75 beta=71.75 gamma=90.00
Last column: nearest neighbours and their distance in Å.
Positions (direct):
Sn (0.6402, 0.6402, 0.7196)  4 Ti 2.79
Sn (0.3598, 0.3598, 0.2804)  4 Ti 2.79
Ti (0.2500, 0.7500, 0.5000)  4 Sn 2.79
Ti (0.7500, 0.2500, 0.5000)  4 Sn 2.79
Rb (0.0000, 0.0000, 0.0000)  8 Sn 3.84, 8 Ti 4.12

(2)
The following is a PBE calculation of a relaxed PIrW2 crystal, from Alexandria via LeMat-Bulk.

Values from the calculation:
The calculation puts the formation energy at 0.146 eV per atom. Its calculated total energy is -9.898 eV/atom.

Unit cell a=2.8650 b=3.9901 c=5.1806 alpha=90.00 beta=90.00 gamma=90.00
Last column: nearest neighbours and their distance in Å.
Positions (direct):
P (0.5000, 0.5000, 0.5000)  2 Ir 2.59, 8 W 2.75, 2 P 2.86
Ir (0.5000, 0.5000, 0.0000)  2 P 2.59, 8 W 2.80, 2 Ir 2.86
W (0.0000, 0.0000, 0.2593)  2 W 2.49-2.69, 4 P 2.75
W (0.0000, 0.0000, 0.7407)  2 W 2.49-2.69, 4 P 2.75

(3)
The following is a PBE calculation of a relaxed CuSb2Br crystal, from Alexandria via LeMat-Bulk.

Values from the calculation:
The calculation puts the energy relative to the lowest polymorph listed for this composition at 0.2183 eV per atom. Its calculated total energy is -3.354 eV/atom. Its formation energy (no corrections) is 14 kJ/mol of atoms.

Unit cell a=6.4211 b=6.4211 c=6.4211 alpha=149.65 beta=132.94 gamma=57.03
Last column: nearest neighbours and their distance in Å.
Positions (direct):
Br (0.2500, 0.7500, 0.5000)  4 Cu 3.07, 4 Sb 3.31, 2 Br 3.36
Sb (0.9361, 0.9361, 0.0000)  2 Cu 2.69
Sb (0.5639, 0.5639, 0.0000)  2 Cu 2.69
Cu (0.7500, 0.2500, 0.5000)  4 Sb 2.69

(4)
The following is a PBE calculation of a relaxed ReAg2Os crystal, from Alexandria via LeMat-Bulk.

Values from the calculation:
The calculation puts the formation energy at 0.865 eV per atom. The calculation puts the energy relative to the lowest polymorph listed for this composition at 0.5855 eV per atom. Its calculated total energy is -6.480 eV/atom.

Unit cell a=5.2792 b=5.2792 c=2.6640 alpha=90.00 beta=90.00 gamma=120.10
Last column: nearest neighbours and their distance in Å.
Positions (direct):
Os (0.5000, 0.0000, 0.5000)  2 Re 2.64, 2 Os 2.66
Ag (0.5000, 0.5000, 0.0000)  4 Ag 2.64-2.66
Ag (0.0000, 0.0000, 0.0000)  4 Ag 2.64-2.66
Re (0.0000, 0.5000, 0.5000)  2 Os 2.64, 2 Re 2.66

(5)
The following is a PBE calculation of a relaxed Ba5Ge2I2 crystal, from Alexandria via LeMat-Bulk.

Values from the calculation:
Its calculated total energy is -3.387 eV/atom. Its formation energy (no corrections) is -92 kJ/mol of atoms.

Unit cell a=9.4331 b=9.4304 c=10.0407 alpha=118.01 beta=90.00 gamma=90.00
Last column: nearest neighbours and their distance in Å.
Positions (direct):
I (0.0000, 0.2040, 0.4081)  7 Ba 3.62-3.99
I (0.0000, 0.7960, 0.5919)  7 Ba 3.62-3.99
I (0.5000, 0.2960, 0.5919)  7 Ba 3.62-3.99
I (0.5000, 0.7040, 0.4081)  7 Ba 3.62-3.99
Ba (0.0000, 0.0000, 0.0000)  4 Ge 3.54-3.55, 2 I 3.62
Ba (0.1427, 0.4673, 0.2229)  3 Ge 3.29-3.49
Ba (0.5000, 0.5000, 0.0000)  4 Ge 3.54-3.55, 2 I 3.62
Ba (0.3573, 0.7443, 0.7771)  3 Ge 3.29-3.49
Ba (0.1427, 0.2443, 0.7771)  3 Ge 3.29-3.49
Ba (0.6427, 0.0327, 0.7771)  3 Ge 3.29-3.49
Ba (0.8573, 0.7557, 0.2229)  3 Ge 3.29-3.49
Ba (0.3573, 0.9673, 0.2229)  3 Ge 3.29-3.49
Ba (0.6427, 0.2557, 0.2229)  3 Ge 3.29-3.49
Ba (0.8573, 0.5327, 0.7771)  3 Ge 3.29-3.49
Ge (0.8404, 0.3401, 0.0000)  8 Ba 3.29-3.55
Ge (0.3404, 0.1599, 0.0000)  8 Ba 3.29-3.55
Ge (0.6596, 0.8401, 0.0000)  8 Ba 3.29-3.55
Ge (0.1596, 0.6599, 0.0000)  8 Ba 3.29-3.55

(6)
The following is a PBE calculation of a relaxed PrTlAg crystal, from Alexandria via LeMat-Bulk.

Values from the calculation:
The calculation puts the formation energy at -0.213 eV per atom. Its calculated total energy is -3.545 eV/atom.

Unit cell a=4.9660 b=4.9660 c=4.9660 alpha=60.00 beta=60.00 gamma=60.00
Last column: nearest neighbours and their distance in Å.
Positions (direct):
Tl (0.0000, 0.0000, 0.0000)  4 Ag 3.04
Pr (0.5000, 0.5000, 0.5000)  4 Ag 3.04
Ag (0.2500, 0.2500, 0.2500)  4 Tl 3.04, 4 Pr 3.04

(7)
The following is a PBE calculation of a relaxed Cs3SmSb2Te6 crystal, from Alexandria via LeMat-Bulk.

Values from the calculation:
Its calculated total energy is -3.678 eV/atom. Its formation energy (no corrections) is -79 kJ/mol of atoms.

Unit cell a=7.9886 b=7.9886 c=9.2866 alpha=98.25 beta=98.25 gamma=120.00
Last column: nearest neighbours and their distance in Å.
Positions (direct):
Te (0.0630, 0.4013, 0.1888)  2 Sb 3.13, 1 Sm 3.18
Te (0.7244, 0.7244, 0.1880)  2 Sb 3.13, 1 Sm 3.18
Te (0.5987, 0.9370, 0.8112)  2 Sb 3.13, 1 Sm 3.18
Te (0.4013, 0.0630, 0.1888)  2 Sb 3.13, 1 Sm 3.18
Te (0.2756, 0.2756, 0.8120)  2 Sb 3.13, 1 Sm 3.18
Te (0.9370, 0.5987, 0.8112)  2 Sb 3.13, 1 Sm 3.18
Sb (0.3333, 0.6667, 0.0000)  6 Te 3.13
Sb (0.6667, 0.3333, 0.0000)  6 Te 3.13
Cs (0.5000, 0.5000, 0.5000)  6 Te 3.82-3.85
Cs (0.1654, 0.8346, 0.5000)  6 Te 3.82-3.86
Cs (0.8346, 0.1654, 0.5000)  6 Te 3.82-3.86
Sm (0.0000, 0.0000, 0.0000)  6 Te 3.18

(8)
The following is a PBE calculation of a relaxed PuUTc2 crystal, from Alexandria via LeMat-Bulk.

Values from the calculation:
The calculation puts the formation energy at 0.092 eV per atom. The calculation puts the energy relative to the lowest polymorph listed for this composition at 0.0723 eV per atom. Its calculated total energy is -11.496 eV/atom.

Unit cell a=5.9410 b=5.6509 c=8.9347 alpha=90.00 beta=90.00 gamma=90.00
Last column: nearest neighbours and their distance in Å.
Positions (direct):
Tc (0.1747, 0.6774, 0.4913)  1 U 2.41
Tc (0.3253, 0.1774, 0.0087)  1 U 2.41
Tc (0.6747, 0.8226, 0.5087)  1 U 2.41
Tc (0.8253, 0.3226, 0.9913)  1 U 2.41
Tc (0.3253, 0.1774, 0.4913)  1 U 2.41
Tc (0.1747, 0.6774, 0.0087)  1 U 2.41
Tc (0.8253, 0.3226, 0.5087)  1 U 2.41
Tc (0.6747, 0.8226, 0.9913)  1 U 2.41
Pu (0.9367, 0.0112, 0.2500)  4 U 2.88-3.06, 6 Tc 2.98-3.19
Pu (0.4367, 0.4888, 0.7500)  4 U 2.88-3.06, 6 Tc 2.98-3.19
Pu (0.5633, 0.5112, 0.2500)  4 U 2.88-3.06, 6 Tc 2.98-3.19
Pu (0.0633, 0.9888, 0.7500)  4 U 2.88-3.06, 6 Tc 2.98-3.19
U (0.4208, 0.0132, 0.2500)  2 Tc 2.41
U (0.9208, 0.4868, 0.7500)  2 Tc 2.41
U (0.0792, 0.5132, 0.2500)  2 Tc 2.41
U (0.5792, 0.9868, 0.7500)  2 Tc 2.41

- Which of these has the highest calculated total energy?
  CuSb2Br